DFT (SCAN) results for a crystal of BeReP2 relaxed with PBEsol.

abc: 4.985 6.477 3.003
angles: 90.00 90.00 90.00
Space group Cmmm (No. 65)
Asymmetric unit:
Be 0.000 0.000 0.000 x2
Re 0.000 0.500 0.000 x2
P 0.250 0.250 0.500 x4

Calculated formation energy in eV per formula unit: 1.3
Mass density in Mg/m³: 8.807